Entry 1
Zn2CdFe2: relaxed, GGA-PBE.

Symmetry: P4/mbm (127)
Volume: 14.75 Å³ per atom

Structure (extended XYZ):
```
10
Lattice="7.165 0.000 0.000 0.000 7.165 0.000 0.000 0.000 2.874" Properties=species:S:1:pos:R:3 pbc="T T T"
Zn 0.903 2.679 0.000
Zn 2.679 6.262 0.000
Zn 4.485 0.903 0.000
Zn 6.262 4.485 0.000
Cd 0.000 0.000 0.000
Cd 3.582 3.582 0.000
Fe 1.217 4.800 1.437
Fe 2.365 1.217 1.437
Fe 4.800 5.947 1.437
Fe 5.947 2.365 1.437
```

=====

Entry 2
Zn2CdFe2: relaxed, GGA-PBE.

Symmetry: I4/mmm (139)
Volume: 15.81 Å³ per atom

Structure (extended XYZ):
```
5
Lattice="-1.733 1.733 6.577 1.733 -1.733 6.577 1.733 1.733 -6.577" Properties=species:S:1:pos:R:3 pbc="T T T"
Zn 0.000 0.000 1.400
Zn 0.000 0.000 11.754
Cd 0.000 0.000 6.577
Fe 1.733 0.000 3.288
Fe 0.000 1.733 3.288
```

=====

Entry 3
Zn2CdFe2: relaxed, GGA-PBE.

Symmetry: P4/mbm (127)
Volume: 14.78 Å³ per atom

Structure (extended XYZ):
```
10
Lattice="7.364 0.000 0.000 0.000 7.364 0.000 0.000 0.000 2.726" Properties=species:S:1:pos:R:3 pbc="T T T"
Zn 1.316 2.366 0.000
Zn 2.366 6.048 0.000
Zn 4.999 1.316 0.000
Zn 6.048 4.999 0.000
Cd 0.000 0.000 1.363
Cd 3.682 3.682 1.363
Fe 0.838 4.520 1.363
Fe 2.844 0.838 1.363
Fe 4.520 6.526 1.363
Fe 6.526 2.844 1.363
```

=====

entry 3 comes first in stability; the runner-up is 45 meV per atom higher.

=====

Entry 1
ZrCdFe: relaxed, GGA-PBE.

Symmetry: F-43m (216)
Volume: 22.61 Å³ per atom

Structure (extended XYZ):
```
3
Lattice="0.000 3.237 3.237 3.237 0.000 3.237 3.237 3.237 0.000" Properties=species:S:1:pos:R:3 pbc="T T T"
Zr 0.000 0.000 0.000
Cd 1.619 1.619 1.619
Fe 4.856 4.856 4.856
```

=====

Entry 2
ZrCdFe: relaxed, GGA-PBE.

Symmetry: F-43m (216)
Volume: 19.85 Å³ per atom

Structure (extended XYZ):
```
3
Lattice="0.000 3.099 3.099 3.099 0.000 3.099 3.099 3.099 0.000" Properties=species:S:1:pos:R:3 pbc="T T T"
Zr 0.000 0.000 0.000
Cd 3.099 3.099 3.099
Fe 1.550 1.550 1.550
```

=====

Entry 3
ZrCdFe: relaxed, GGA-PBE.

Symmetry: C2/m (12)
Volume: 18.55 Å³ per atom

Structure (extended XYZ):
```
6
Lattice="6.649 -1.703 0.000 6.649 1.703 0.000 -1.185 0.000 4.914" Properties=species:S:1:pos:R:3 pbc="T T T"
Zr 1.550 0.000 1.660
Zr 10.563 0.000 3.254
Cd 5.531 0.000 1.041
Cd 6.582 0.000 3.872
Fe 2.144 0.000 4.203
Fe 9.969 0.000 0.711
```

=====

entry 3 comes first in stability; the runner-up is 416 meV per atom higher.

=====

Entry 1
ZrCdFe: relaxed, GGA-PBE.

Symmetry: I4mm (107)
Volume: 18.02 Å³ per atom

Structure (extended XYZ):
```
3
Lattice="-1.620 1.620 5.151 1.620 -1.620 5.151 1.620 1.620 -5.151" Properties=species:S:1:pos:R:3 pbc="T T T"
Zr 0.000 0.000 0.000
Cd 0.000 0.000 7.312
Fe 0.000 0.000 3.872
```

=====

Entry 2
ZrCdFe: relaxed, GGA-PBE.

Symmetry: P3m1 (156)
Volume: 18.26 Å³ per atom

Structure (extended XYZ):
```
3
Lattice="4.731 0.000 0.000 -2.366 4.098 0.000 0.000 0.000 2.826" Properties=species:S:1:pos:R:3 pbc="T T T"
Zr 0.000 0.000 0.000
Cd 2.366 1.366 1.414
Fe 0.000 2.732 1.409
```

=====

entry 1 comes first in stability; the runner-up is 119 meV per atom higher.

=====

Entry 1
ZrCd3Fe: relaxed, GGA-PBE.

Symmetry: Pm-3m (221)
Volume: 22.57 Å³ per atom

Structure (extended XYZ):
```
5
Lattice="4.832 0.000 0.000 0.000 4.832 0.000 0.000 0.000 4.832" Properties=species:S:1:pos:R:3 pbc="T T T"
Zr 0.000 0.000 0.000
Cd 0.000 2.416 2.416
Cd 2.416 0.000 2.416
Cd 2.416 2.416 0.000
Fe 2.416 2.416 2.416
```

=====

Entry 2
ZrCd3Fe: relaxed, GGA-PBE.

Symmetry: Pm-3m (221)
Volume: 34.08 Å³ per atom

Structure (extended XYZ):
```
5
Lattice="5.544 0.000 0.000 0.000 5.544 0.000 0.000 0.000 5.544" Properties=species:S:1:pos:R:3 pbc="T T T"
Zr 0.000 0.000 0.000
Cd 0.000 0.000 2.772
Cd 0.000 2.772 0.000
Cd 2.772 0.000 0.000
Fe 2.772 2.772 2.772
```

=====

entry 1 comes first in stability; the runner-up is 686 meV per atom higher.

=====

Entry 1
Cd8Ga3: relaxed, GGA-PBE.

Symmetry: C2/m (12)
Volume: 21.82 Å³ per atom

Structure (extended XYZ):
```
11
Lattice="5.045 -2.235 0.000 5.045 2.235 0.000 -3.315 0.000 10.640" Properties=species:S:1:pos:R:3 pbc="T T T"
Cd 0.483 0.000 1.487
Cd -0.740 0.000 8.193
Cd 1.369 0.000 4.363
Cd 3.541 0.000 0.506
Cd 3.235 0.000 10.134
Cd 5.407 0.000 6.277
Cd 7.516 0.000 2.447
Cd 6.292 0.000 9.153
Ga -1.658 0.000 5.320
Ga 2.407 0.000 7.144
Ga 4.368 0.000 3.496
```

=====

Entry 2
Cd8Ga3: relaxed, GGA-PBE.

Symmetry: R-3m (166)
Volume: 24.03 Å³ per atom

Structure (extended XYZ):
```
11
Lattice="4.520 2.610 3.734 -4.520 2.610 3.734 0.000 -5.220 3.734" Properties=species:S:1:pos:R:3 pbc="T T T"
Cd -2.394 -1.382 6.569
Cd 0.000 -2.764 4.633
Cd -2.394 1.382 4.633
Cd 0.000 0.000 2.680
Cd 0.000 0.000 8.521
Cd 2.394 -1.382 6.569
Cd 0.000 2.764 6.569
Cd 2.394 1.382 4.633
Ga -2.260 -1.305 3.734
Ga -2.260 1.305 7.468
Ga 0.000 2.610 3.734
```

=====

entry 1 comes first in stability; the runner-up is 43 meV per atom higher.

=====

Entry 1
CdGa: relaxed, GGA-PBE.

Symmetry: P6_3/m (176)
Volume: 22.27 Å³ per atom

Structure (extended XYZ):
```
12
Lattice="7.991 0.000 0.000 -3.996 6.921 0.000 0.000 0.000 4.832" Properties=species:S:1:pos:R:3 pbc="T T T"
Cd -2.551 5.666 1.208
Cd 0.364 1.879 1.208
Cd 1.809 0.624 3.624
Cd 2.187 6.297 1.208
Cd 3.631 5.042 3.624
Cd 6.547 1.255 3.624
Ga -1.569 4.132 3.624
Ga 1.201 3.496 3.624
Ga 0.367 6.213 3.624
Ga 3.628 0.708 1.208
Ga 2.794 3.425 1.208
Ga 5.564 2.788 1.208
```

=====

Entry 2
CdGa: relaxed, GGA-PBE.

Symmetry: I-43m (217)
Volume: 34.00 Å³ per atom

Structure (extended XYZ):
```
8
Lattice="-4.082 4.082 4.082 4.082 -4.082 4.082 4.082 4.082 -4.082" Properties=species:S:1:pos:R:3 pbc="T T T"
Cd 1.626 1.626 -1.626
Cd 1.626 -1.626 1.626
Cd -1.626 1.626 1.626
Cd 2.455 2.455 2.455
Ga 3.097 3.097 -3.097
Ga 3.097 -3.097 3.097
Ga 0.985 0.985 0.985
Ga -3.097 3.097 3.097
```

=====

entry 1 comes first in stability; the runner-up is 224 meV per atom higher.

=====

Entry 1
CdGa: relaxed, GGA-PBE.

Symmetry: P6_3/mmc (194)
Volume: 28.23 Å³ per atom

Structure (extended XYZ):
```
4
Lattice="4.799 0.000 0.000 -2.400 4.156 0.000 0.000 0.000 5.661" Properties=species:S:1:pos:R:3 pbc="T T T"
Cd 0.000 2.771 1.415
Cd 2.400 1.385 4.245
Ga 0.000 2.771 4.245
Ga 2.400 1.385 1.415
```

=====

Entry 2
CdGa: relaxed, GGA-PBE.

Symmetry: Pm-3m (221)
Volume: 21.40 Å³ per atom

Structure (extended XYZ):
```
2
Lattice="3.498 0.000 0.000 0.000 3.498 0.000 0.000 0.000 3.498" Properties=species:S:1:pos:R:3 pbc="T T T"
Cd 0.000 0.000 0.000
Ga 1.749 1.749 1.749
```

=====

entry 2 comes first in stability; the runner-up is 143 meV per atom higher.

=====

Entry 1
CdGa: relaxed, GGA-PBE.

Symmetry: P2_1/m (11)
Volume: 21.20 Å³ per atom

Structure (extended XYZ):
```
4
Lattice="3.216 0.000 0.000 0.000 3.772 0.000 -0.717 0.000 6.990" Properties=species:S:1:pos:R:3 pbc="T T T"
Cd 0.503 0.943 2.549
Cd 1.996 2.829 4.441
Ga 0.158 0.943 6.272
Ga 2.342 2.829 0.718
```

=====

Entry 2
CdGa: relaxed, GGA-PBE.

Symmetry: Pm-3n (223)
Volume: 38.42 Å³ per atom

Structure (extended XYZ):
```
12
Lattice="7.725 0.000 0.000 0.000 7.725 0.000 0.000 0.000 7.725" Properties=species:S:1:pos:R:3 pbc="T T T"
Cd 0.000 1.931 3.863
Cd 0.000 5.794 3.863
Cd 1.931 3.863 0.000
Cd 3.863 0.000 1.931
Cd 3.863 0.000 5.794
Cd 5.794 3.863 0.000
Ga 0.000 3.863 1.931
Ga 0.000 3.863 5.794
Ga 1.931 0.000 3.863
Ga 3.863 1.931 0.000
Ga 3.863 5.794 0.000
Ga 5.794 0.000 3.863
```

=====

Entry 3
CdGa: relaxed, GGA-PBE.

Symmetry: P2_12_12_1 (19)
Volume: 21.36 Å³ per atom

Structure (extended XYZ):
```
16
Lattice="5.346 0.000 0.000 0.000 5.614 0.000 0.000 0.000 11.387" Properties=species:S:1:pos:R:3 pbc="T T T"
Cd 0.685 0.577 2.190
Cd 0.716 1.727 10.643
Cd 1.957 3.887 4.950
Cd 1.988 5.037 7.884
Cd 3.358 2.230 9.196
Cd 3.389 1.080 0.743
Cd 4.630 4.534 6.437
Cd 4.660 3.384 3.503
Ga 0.658 2.186 7.662
Ga 0.731 1.132 5.072
Ga 1.942 4.482 10.766
Ga 2.014 3.428 1.969
Ga 3.331 0.621 3.725
Ga 3.404 1.675 6.314
Ga 4.615 3.939 0.621
Ga 4.687 4.993 9.418
```

=====

entry 3 comes first in stability; the runner-up is 9 meV per atom higher.

=====

Entry 1
CdGa: relaxed, GGA-PBE.

Symmetry: Imm2 (44)
Volume: 21.93 Å³ per atom

Structure (extended XYZ):
```
6
Lattice="-1.647 5.904 3.384 1.647 -5.904 3.384 1.647 5.904 -3.384" Properties=species:S:1:pos:R:3 pbc="T T T"
Cd 0.000 0.000 0.000
Cd 0.000 3.797 1.779
Cd 0.000 8.011 1.779
Ga 1.647 -1.468 2.011
Ga 1.647 1.468 2.011
Ga 0.000 0.000 3.785
```

=====

Entry 2
CdGa: relaxed, GGA-PBE.

Symmetry: P4/nmm (129)
Volume: 20.89 Å³ per atom

Structure (extended XYZ):
```
4
Lattice="3.191 0.000 0.000 0.000 3.191 0.000 0.000 0.000 8.205" Properties=species:S:1:pos:R:3 pbc="T T T"
Cd 0.798 0.798 1.114
Cd 2.393 2.393 7.091
Ga 0.798 0.798 5.006
Ga 2.393 2.393 3.199
```

=====

entry 2 comes first in stability; the runner-up is 24 meV per atom higher.

=====

Entry 1
CdGa: relaxed, GGA-PBE.

Symmetry: Pmmn (59)
Volume: 23.12 Å³ per atom

Structure (extended XYZ):
```
12
Lattice="3.881 0.000 0.000 0.000 12.347 0.000 0.000 0.000 5.791" Properties=species:S:1:pos:R:3 pbc="T T T"
Cd 0.970 0.098 1.150
Cd 0.970 3.087 1.051
Cd 0.970 6.076 1.150
Cd 2.910 6.272 4.641
Cd 2.910 9.261 4.740
Cd 2.910 12.249 4.641
Ga 0.970 1.669 3.550
Ga 0.970 4.505 3.550
Ga 0.970 9.261 0.969
Ga 2.910 3.087 4.822
Ga 2.910 7.843 2.241
Ga 2.910 10.678 2.241
```

=====

Entry 2
CdGa: relaxed, GGA-PBE.

Symmetry: Fddd (70)
Volume: 22.33 Å³ per atom

Structure (extended XYZ):
```
8
Lattice="0.000 4.814 7.638 2.430 0.000 7.638 2.430 4.814 0.000" Properties=species:S:1:pos:R:3 pbc="T T T"
Cd 1.822 0.284 5.729
Cd 3.037 2.691 9.548
Cd 1.822 6.936 5.729
Cd 3.037 9.343 9.548
Ga 1.822 3.610 4.398
Ga 1.822 3.610 7.059
Ga 3.037 6.017 8.217
Ga 3.037 6.017 10.879
```

=====

Entry 3
CdGa: relaxed, GGA-PBE.

Symmetry: P4_2/mnm (136)
Volume: 23.11 Å³ per atom

Structure (extended XYZ):
```
8
Lattice="5.665 0.000 0.000 0.000 5.665 0.000 0.000 0.000 5.761" Properties=species:S:1:pos:R:3 pbc="T T T"
Cd 1.075 1.075 0.000
Cd 1.757 3.908 2.880
Cd 3.908 1.757 2.880
Cd 4.590 4.590 0.000
Ga 1.040 1.040 2.880
Ga 1.793 3.873 0.000
Ga 3.873 1.793 0.000
Ga 4.626 4.626 2.880
```

=====

entry 1 comes first in stability; the runner-up is 21 meV per atom higher.